[1]
Below is crystalline ZrGaCu2Pt at its relaxed geometry, with properties calculated at the PBE-GGA level.

The structure in POSCAR format:
```
ZrGaCu2Pt
1.0
5.012 0.000 0.000
0.000 5.012 0.000
0.000 0.000 5.014
Zr Ga Cu Pt
1 1 2 1
direct
0.000 0.000 0.000
0.500 0.500 0.500
0.000 0.500 0.000
0.500 0.000 0.000
0.000 0.000 0.500
```

Output
Magnetization   0.0 μB/f.u.
Formation energy from the elements   4.77 eV/f.u.
Crystal system   tetragonal
V   25.2 A^3/atom

---

[2]
Below is crystalline Pu2Ga6Cu at its relaxed geometry, with properties calculated at the PBE-GGA level.

The structure in POSCAR format:
```
Pu2Ga6Cu
1.0
4.540 0.000 0.000
0.000 4.540 0.000
0.000 0.000 8.560
Pu Ga Cu
2 6 1
direct
0.000 0.000 0.249
0.000 0.000 0.751
0.000 0.500 0.000
0.000 0.500 0.500
0.500 0.000 0.000
0.500 0.000 0.500
0.500 0.500 0.295
0.500 0.500 0.705
0.500 0.500 0.000
```

Output
Magnetization   11.3 μB/f.u.
Formation energy from the elements   -1.85 eV/f.u.
Crystal system   tetragonal
V   19.6 A^3/atom

---

[3]
Below is crystalline PuGa2Cu9 at its relaxed geometry, with properties calculated at the PBE-GGA level.

The structure in POSCAR format:
```
PuGa2Cu9
1.0
-5.075 5.075 3.310
5.075 -5.075 3.310
5.075 5.075 -3.310
Pu Ga Cu
2 4 18
direct
0.375 0.625 0.750
0.625 0.375 0.250
0.000 0.000 0.000
0.000 0.000 0.500
0.000 0.500 0.000
0.500 0.000 0.500
0.125 0.875 0.250
0.139 0.558 0.337
0.139 0.803 0.581
0.197 0.278 0.337
0.197 0.861 0.919
0.278 0.197 0.837
0.278 0.442 0.081
0.442 0.278 0.581
0.442 0.861 0.163
0.558 0.139 0.837
0.558 0.722 0.419
0.722 0.558 0.919
0.722 0.803 0.163
0.803 0.139 0.081
0.803 0.722 0.663
0.861 0.197 0.419
0.861 0.442 0.663
0.875 0.125 0.750
```

Output
Magnetization   5.7 μB/f.u.
Formation energy from the elements   -0.95 eV/f.u.
Crystal system   tetragonal
V   14.2 A^3/atom

---

The following density of states at the Fermi level values (in states/eV per cell) correspond, in order, to the records above: 3.14; 20.68; 32.66.
The following total DFT energy (no corrections) values (in eV per atom) correspond, in order, to the records above: -4.21; -5.86; -4.85.